No. 1
BeZn2Co after structural relaxation, computed with GGA-PBE.

Output
**Fermi-level density of states**: 2.23 states/eV/cell
**Energy**: -3.2698 eV per atom
**Symmetry**: No. 160

The structure in POSCAR format:
```
BeZn2Co
1.0
-2.725 -1.839 -8.017
-4.762 -2.704 -6.715
-4.599 -0.219 -7.341
Be Co Zn
1 1 2
Cartesian
-5.914 -2.330 -10.801 Be
-9.173 -3.614 -16.751 Co
-2.930 -1.154 -5.351 Zn
-0.114 -0.045 -0.207 Zn
```



No. 2
Be4ZnCo after structural relaxation, computed with GGA-PBE.

Output
**Fermi-level density of states**: 3.28 states/eV/cell
**Energy**: -4.0504 eV per atom
**Symmetry**: No. 216

The structure in POSCAR format:
```
Be4ZnCo
1.0
-3.493 -0.052 -2.385
0.312 -0.391 -4.200
-1.220 -3.584 -1.887
Be Co Zn
4 1 1
Cartesian
-1.014 -2.487 -4.104 Be
-2.141 -0.736 -4.351 Be
-2.746 -2.513 -5.287 Be
-2.901 -2.319 -3.204 Be
-1.100 -1.007 -2.118 Co
0.000 0.000 0.000 Zn
```



No. 3
BeZn2Co after structural relaxation, computed with GGA-PBE.

Output
**Fermi-level density of states**: 2.77 states/eV/cell
**Energy**: -3.2615 eV per atom
**Symmetry**: No. 47

The structure in POSCAR format:
```
BeZn2Co
1.0
2.562 0.000 0.000
0.000 3.622 0.000
0.000 0.000 5.065
Zn Co Be
2 1 1
Cartesian
0.000 0.000 5.063 Zn
0.000 0.000 2.534 Zn
1.281 1.811 3.799 Co
1.281 1.811 1.266 Be
```



No. 4
Be2ZnCo2 after structural relaxation, computed with GGA-PBE.

Output
**Fermi-level density of states**: 1.72 states/eV/cell
**Energy**: -4.4216 eV per atom
**Symmetry**: No. 139

The structure in POSCAR format:
```
Be2ZnCo2
1.0
3.892 0.000 0.000
0.000 3.892 0.000
1.946 1.946 3.548
Be Co Zn
2 2 1
Cartesian
3.892 3.892 2.495 Be
1.946 1.946 1.053 Be
3.892 1.946 1.774 Co
1.946 3.892 1.774 Co
0.000 0.000 0.000 Zn
```



No. 5
Be2ZnCo after structural relaxation, computed with GGA-PBE.

Output
**Fermi-level density of states**: 1.63 states/eV/cell
**Energy**: -4.1151 eV per atom
**Symmetry**: No. 123

The structure in POSCAR format:
```
Be2ZnCo
1.0
-0.683 2.238 1.355
-1.523 -1.478 1.674
4.266 -0.683 3.279
Be Co Zn
2 1 1
Cartesian
0.182 -0.029 0.140 Be
1.951 -0.312 1.500 Be
-0.037 0.209 2.334 Co
2.096 -0.132 3.974 Zn
```



No. 6
BeZnCo3 after structural relaxation, computed with GGA-PBE.

Output
**Fermi-level density of states**: 10.69 states/eV/cell
**Energy**: -3.8252 eV per atom
**Symmetry**: No. 221

The structure in POSCAR format:
```
BeZnCo3
1.0
4.283 0.000 0.000
0.000 4.283 0.000
0.000 0.000 4.283
Co Be Zn
3 1 1
Cartesian
2.142 0.000 0.000 Co
0.000 2.142 0.000 Co
0.000 0.000 2.142 Co
2.142 2.142 2.142 Be
0.000 0.000 0.000 Zn
```



No. 7
BeZn2Co after structural relaxation, computed with GGA-PBE.

Output
**Fermi-level density of states**: 2.69 states/eV/cell
**Energy**: -3.3538 eV per atom
**Symmetry**: No. 123

The structure in POSCAR format:
```
BeZn2Co
1.0
3.565 0.000 0.000
0.000 3.565 0.000
0.000 0.000 3.621
Be Zn Co
1 2 1
Cartesian
1.782 0.000 1.810 Be
0.000 0.000 0.000 Zn
1.782 1.782 0.000 Zn
0.000 1.782 1.810 Co
```



No. 8
BeZnCo after structural relaxation, computed with GGA-PBE.

Output
**Fermi-level density of states**: 1.47 states/eV/cell
**Energy**: -3.6390 eV per atom
**Symmetry**: No. 216

The structure in POSCAR format:
```
BeZnCo
1.0
3.797 0.000 0.000
1.899 3.289 0.000
1.899 1.096 3.101
Be Co Zn
1 1 1
Cartesian
3.797 2.192 1.550 Be
5.696 3.289 2.325 Co
0.000 0.000 0.000 Zn
```



No. 9
BeZnCo2 after structural relaxation, computed with GGA-PBE.

Output
**Fermi-level density of states**: 3.57 states/eV/cell
**Energy**: -4.7940 eV per atom
**Symmetry**: No. 6

The structure in POSCAR format:
```
BeZnCo2
1.0
-3.554 0.797 0.428
-0.597 -2.372 -0.538
0.000 -2.304 4.288
Zn Co Be
1 2 1
Cartesian
-0.409 -2.771 1.761 Zn
-0.567 -4.500 3.669 Co
-1.964 -0.906 1.085 Co
-2.104 -2.715 3.289 Be
```



No. 10
BeZn2Co2 after structural relaxation, computed with GGA-PBE.

Output
**Fermi-level density of states**: 7.97 states/eV/cell
**Energy**: -4.1017 eV per atom
**Symmetry**: No. 127

The structure in POSCAR format:
```
BeZn2Co2
1.0
5.529 0.000 0.000
0.000 5.529 0.000
0.000 0.000 3.884
Zn Be Co
4 2 4
Cartesian
4.603 1.839 1.942 Zn
1.839 0.925 1.942 Zn
3.690 4.603 1.942 Zn
0.925 3.690 1.942 Zn
0.000 0.000 0.000 Be
2.764 2.764 0.000 Be
0.788 1.977 0.000 Co
3.552 0.788 0.000 Co
1.977 4.741 0.000 Co
4.741 3.552 0.000 Co
```



No. 11
Be2ZnCo after structural relaxation, computed with GGA-PBE.

Output
**Fermi-level density of states**: 0.71 states/eV/cell
**Energy**: -4.0729 eV per atom
**Symmetry**: No. 44

The structure in POSCAR format:
```
Be2ZnCo
1.0
4.471 -0.001 0.010
3.603 2.648 0.010
1.496 0.491 3.310
Be Zn Co
2 1 1
Cartesian
1.564 0.513 3.276 Be
7.188 2.357 2.493 Be
2.407 0.789 0.825 Zn
4.694 1.539 1.709 Co
```



No. 12
BeZnCo after structural relaxation, computed with GGA-PBE.

Output
**Fermi-level density of states**: 1.34 states/eV/cell
**Energy**: -3.8505 eV per atom
**Symmetry**: No. 216

The structure in POSCAR format:
```
BeZnCo
1.0
-0.204 1.114 -3.491
-2.749 -1.158 -2.138
-2.634 2.338 -1.029
Zn Co Be
1 1 1
Cartesian
-2.794 1.147 -3.329 Zn
0.000 0.000 0.000 Co
-4.190 1.721 -4.993 Be
```



No. 13
Be2ZnCo after structural relaxation, computed with GGA-PBE.

Output
**Fermi-level density of states**: 2.28 states/eV/cell
**Energy**: -3.9606 eV per atom
**Symmetry**: No. 216

The structure in POSCAR format:
```
Be2ZnCo
1.0
-1.318 -2.764 -2.335
2.199 -1.293 -2.885
1.507 -3.540 0.165
Zn Be Co
1 2 1
Cartesian
1.791 -5.698 -3.792 Zn
0.000 0.000 0.000 Be
0.597 -1.899 -1.264 Be
1.194 -3.799 -2.528 Co
```



No. 14
BeZnCo2 after structural relaxation, computed with GGA-PBE.

Output
**Fermi-level density of states**: 3.15 states/eV/cell
**Energy**: -4.8149 eV per atom
**Symmetry**: No. 166

The structure in POSCAR format:
```
BeZnCo2
1.0
7.966 0.004 0.002
7.567 2.491 0.002
7.567 1.215 2.174
Zn Co Be
1 2 1
Cartesian
5.775 0.927 0.545 Zn
0.187 0.030 0.018 Co
11.363 1.825 1.072 Co
17.325 2.782 1.634 Be
```



No. 15
BeZnCo after structural relaxation, computed with GGA-PBE.

Output
**Fermi-level density of states**: 1.88 states/eV/cell
**Energy**: -4.0616 eV per atom
**Symmetry**: No. 156

The structure in POSCAR format:
```
BeZnCo
1.0
-1.975 2.401 -2.200
-0.350 -3.760 -0.493
-1.911 -0.041 1.671
Be Zn Co
1 1 1
Cartesian
-1.758 -0.038 1.537 Be
-2.368 -1.738 0.228 Zn
-2.021 0.335 -1.117 Co
```



No. 16
BeZn2Co after structural relaxation, computed with GGA-PBE.

Output
**Fermi-level density of states**: 1.29 states/eV/cell
**Energy**: -3.3821 eV per atom
**Symmetry**: No. 8

The structure in POSCAR format:
```
BeZn2Co
1.0
4.715 -0.010 0.002
3.852 2.719 0.002
1.678 0.531 3.576
Zn Co Be
2 1 1
Cartesian
7.783 2.461 2.633 Zn
8.502 2.688 0.038 Zn
2.400 0.759 0.978 Co
5.250 1.660 1.726 Be
```



No. 17
Be2ZnCo after structural relaxation, computed with GGA-PBE.

Output
**Fermi-level density of states**: 1.93 states/eV/cell
**Energy**: -4.0237 eV per atom
**Symmetry**: No. 38

The structure in POSCAR format:
```
Be2ZnCo
1.0
3.591 0.000 0.000
0.000 2.512 0.003
0.000 1.246 4.398
Co Zn Be
1 1 2
Cartesian
0.000 1.723 1.950 Co
1.796 2.972 3.433 Zn
0.000 0.472 0.029 Be
1.796 0.470 1.189 Be
```



No. 18
Be5ZnCo4 after structural relaxation, computed with GGA-PBE.

Output
**Fermi-level density of states**: 6.64 states/eV/cell
**Energy**: -5.0747 eV per atom
**Symmetry**: No. 123

The structure in POSCAR format:
```
Be5ZnCo4
1.0
-0.239 2.339 1.252
-1.724 0.819 -1.859
-9.785 -4.739 6.985
Co Be Zn
4 5 1
Cartesian
-7.775 -3.766 5.550 Co
-3.943 -1.910 2.814 Co
-2.009 -0.973 1.434 Co
-5.842 -2.829 4.170 Co
-5.874 -0.790 3.189 Be
-9.564 -2.578 5.823 Be
-2.184 0.997 0.555 Be
-7.792 -1.719 4.558 Be
-3.956 0.139 1.820 Be
0.000 0.000 0.000 Zn
```



No. 19
Be12Zn3Co5 after structural relaxation, computed with GGA-PBE.

Output
**Fermi-level density of states**: 51.81 states/eV/cell
**Energy**: -3.4061 eV per atom
**Symmetry**: No. 230

The structure in POSCAR format:
```
Be12Zn3Co5
1.0
-9.754 0.136 5.085
5.078 -9.538 2.062
6.179 8.317 3.696
Be Zn Co
48 12 20
Cartesian
4.730 -0.023 4.678 Be
1.223 1.455 5.004 Be
3.349 5.300 3.585 Be
1.348 -4.554 6.246 Be
4.673 3.035 5.438 Be
-3.228 -1.062 6.166 Be
-3.167 -8.117 6.471 Be
5.748 -2.119 4.327 Be
2.079 -1.371 6.814 Be
1.621 -5.566 2.737 Be
5.031 -0.275 6.960 Be
2.352 2.282 7.895 Be
-1.689 2.767 5.890 Be
2.683 2.154 2.299 Be
-1.623 2.303 3.580 Be
7.362 -0.364 6.628 Be
1.403 0.395 1.504 Be
0.099 -1.480 9.340 Be
4.848 -7.607 2.839 Be
-0.424 -5.514 3.823 Be
0.154 3.469 4.598 Be
-1.180 -3.239 8.544 Be
1.217 -3.399 1.904 Be
6.721 3.033 4.357 Be
-5.556 -0.924 6.502 Be
1.926 4.429 7.021 Be
-0.577 0.286 4.030 Be
0.279 -2.540 5.840 Be
-4.590 1.264 4.238 Be
7.059 -0.161 4.341 Be
-3.345 6.522 8.004 Be
-4.648 4.761 7.253 Be
-3.528 -0.810 3.883 Be
-0.119 4.481 8.106 Be
0.285 2.314 8.940 Be
-0.850 -3.367 2.949 Be
3.126 -3.388 7.264 Be
-3.171 -4.120 5.406 Be
-4.246 1.035 6.517 Be
-5.219 -4.118 6.487 Be
-1.846 -6.385 7.258 Be
2.100 -1.858 4.508 Be
4.669 7.032 4.372 Be
6.150 -5.845 3.591 Be
6.093 -2.349 6.606 Be
-0.598 0.773 6.336 Be
-5.860 -0.721 4.215 Be
3.191 -3.852 4.954 Be
0.989 -3.046 7.928 Zn
-4.639 -2.435 5.049 Zn
0.442 2.746 6.724 Zn
5.457 4.910 4.385 Zn
4.012 -1.904 5.764 Zn
-3.954 -5.995 6.458 Zn
6.141 1.350 5.794 Zn
7.858 -2.091 5.212 Zn
1.060 -3.831 4.120 Zn
-6.355 1.006 5.631 Zn
-2.510 0.819 5.080 Zn
0.513 1.961 2.915 Zn
-3.404 2.933 7.275 Co
-4.877 0.068 2.543 Co
0.751 -0.542 5.422 Co
-0.109 -6.182 5.907 Co
4.906 -4.018 3.568 Co
-1.825 -2.740 6.489 Co
2.777 -7.272 3.538 Co
2.539 -4.769 1.031 Co
3.089 4.159 1.848 Co
-1.274 6.187 7.306 Co
1.611 5.097 4.937 Co
-0.727 0.396 8.511 Co
5.628 -0.611 2.879 Co
3.118 0.209 7.959 Co
-2.338 -4.701 3.574 Co
-1.616 -1.294 2.885 Co
-1.788 4.227 4.391 Co
0.000 0.000 0.000 Co
2.230 -1.481 2.333 Co
3.327 1.655 4.355 Co
```



No. 20
BeZnCo2 after structural relaxation, computed with GGA-PBE.

Output
**Fermi-level density of states**: 2.88 states/eV/cell
**Energy**: -4.8127 eV per atom
**Symmetry**: No. 22

The structure in POSCAR format:
```
BeZnCo2
1.0
-0.169 0.909 -3.840
0.309 -3.833 -0.904
-2.821 1.225 2.437
Zn Co Be
1 2 1
Cartesian
0.070 -1.461 -2.372 Zn
-0.169 0.909 -3.840 Co
-1.221 -2.034 -0.420 Co
-1.460 0.335 -1.887 Be
```



No. 21
BeZnCo2 after structural relaxation, computed with GGA-PBE.

Output
**Fermi-level density of states**: 3.35 states/eV/cell
**Energy**: -4.8071 eV per atom
**Symmetry**: No. 160

The structure in POSCAR format:
```
BeZnCo2
1.0
-1.062 0.408 2.253
-2.140 -1.186 0.620
3.062 -6.138 3.968
Zn Be Co
1 1 2
Cartesian
-0.068 -3.462 3.422 Zn
0.926 -6.655 5.881 Be
2.129 -4.810 3.287 Co
-0.134 -1.588 1.638 Co
```



No. 22
Be2ZnCo2 after structural relaxation, computed with GGA-PBE.

Output
**Fermi-level density of states**: 4.63 states/eV/cell
**Energy**: -4.4125 eV per atom
**Symmetry**: No. 139

The structure in POSCAR format:
```
Be2ZnCo2
1.0
0.411 -0.285 6.663
-2.665 2.195 5.720
-0.149 -2.534 -6.180
Be Zn Co
2 1 2
Cartesian
-1.971 0.308 2.866 Be
-0.433 -0.932 3.337 Be
0.000 0.000 0.000 Zn
-0.865 0.733 4.751 Co
-1.389 1.177 7.632 Co
```



No. 23
Be2ZnCo after structural relaxation, computed with GGA-PBE.

Output
**Fermi-level density of states**: 1.83 states/eV/cell
**Energy**: -4.0075 eV per atom
**Symmetry**: No. 99

The structure in POSCAR format:
```
Be2ZnCo
1.0
2.688 0.000 0.000
0.000 2.688 0.000
0.000 0.000 5.541
Be Co Zn
2 1 1
Cartesian
1.344 1.344 1.418 Be
0.000 0.000 0.222 Be
0.000 0.000 2.498 Co
1.344 1.344 4.173 Zn
```



No. 24
BeZn2Co after structural relaxation, computed with GGA-PBE.

Output
**Fermi-level density of states**: 2.72 states/eV/cell
**Energy**: -3.1898 eV per atom
**Symmetry**: No. 166

The structure in POSCAR format:
```
BeZn2Co
1.0
-3.395 7.617 -0.616
-3.748 6.821 -3.057
-5.476 6.199 -1.228
Zn Co Be
2 1 1
Cartesian
-6.331 10.355 -2.459 Zn
-12.595 20.599 -4.892 Zn
-9.463 15.477 -3.676 Co
-3.154 5.159 -1.225 Be
```



No. 25
Be2ZnCo2 after structural relaxation, computed with GGA-PBE.

Output
**Fermi-level density of states**: 3.87 states/eV/cell
**Energy**: -4.7942 eV per atom
**Symmetry**: No. 127

The structure in POSCAR format:
```
Be2ZnCo2
1.0
-0.611 -1.983 5.603
-0.035 -5.632 -1.997
2.702 -0.108 0.256
Co Be Zn
4 4 2
Cartesian
1.140 -1.646 1.679 Co
0.829 -3.599 4.139 Co
1.227 -4.123 -0.276 Co
0.916 -6.076 2.184 Co
-0.387 -1.952 3.257 Be
-0.259 -5.663 0.350 Be
-0.090 -2.356 -0.040 Be
-0.555 -5.259 3.646 Be
0.000 0.000 0.000 Zn
-0.323 -3.807 1.803 Zn
```



Number 1: ΔH_f (0 K) 75 meV per atom. Number 2: ΔH_f (0 K) -170 meV per atom. Number 3: ΔH_f (0 K) 83 meV per atom. Number 4: ΔH_f (0 K) 166 meV per atom. Number 5: ΔH_f (0 K) -157 meV per atom. Number 6: ΔH_f (0 K) 1438 meV per atom. Number 7: ΔH_f (0 K) -9 meV per atom. Number 8: ΔH_f (0 K) 396 meV per atom. Number 9: ΔH_f (0 K) 9 meV per atom. Number 10: ΔH_f (0 K) -4 meV per atom. Number 11: ΔH_f (0 K) -115 meV per atom. Number 12: ΔH_f (0 K) 185 meV per atom. Number 13: ΔH_f (0 K) -3 meV per atom. Number 14: ΔH_f (0 K) -12 meV per atom. Number 15: ΔH_f (0 K) -26 meV per atom. Number 16: ΔH_f (0 K) -37 meV per atom. Number 17: ΔH_f (0 K) -66 meV per atom. Number 18: ΔH_f (0 K) -242 meV per atom. Number 19: ΔH_f (0 K) 797 meV per atom. Number 20: ΔH_f (0 K) -10 meV per atom. Number 21: ΔH_f (0 K) -4 meV per atom. Number 22: ΔH_f (0 K) 175 meV per atom. Number 23: ΔH_f (0 K) -49 meV per atom. Number 24: ΔH_f (0 K) 155 meV per atom. Number 25: ΔH_f (0 K) -207 meV per atom.